(1)
DFT (PBE) results for an optimized crystal structure of Ho12As3H5.

Values from the calculation:
As for the total energy: -0.3529 Ry/atom. As for the volume: 1709.2 Å³/cell. The space group is Ia-3d (230).

Cell: 13.0458 13.0458 13.0458 Å, 109.47 109.47 109.47°
With the nearest neighbours (Å) after each atom.
Fractional positions:
Ho1 0.0206 0.2125 0.1155  1 H 2.14
Ho2 0.0206 0.3081 0.9051  1 H 2.14
Ho3 0.0949 0.6155 0.4031  1 H 2.14
Ho4 0.0949 0.9794 0.6919  1 H 2.14
Ho5 0.0969 0.7125 0.6919  1 H 2.14
Ho6 0.0969 0.8845 0.4051  1 H 2.14
Ho7 0.1155 0.0206 0.2125  1 H 2.14
Ho8 0.1155 0.5949 0.9031  1 H 2.14
Ho9 0.1919 0.2125 0.5969  1 H 2.14
Ho10 0.1919 0.4794 0.5949  1 H 2.14
Ho11 0.2125 0.1155 0.0206  1 H 2.14
Ho12 0.2125 0.5969 0.1919  1 H 2.14
Ho13 0.2875 0.3081 0.9031  1 H 2.14
Ho14 0.2875 0.4794 0.3845  1 H 2.14
Ho15 0.3081 0.9031 0.2875  1 H 2.14
Ho16 0.3081 0.9051 0.0206  1 H 2.14
Ho17 0.3845 0.2875 0.4794  1 H 2.14
Ho18 0.3845 0.5969 0.9051  1 H 2.14
Ho19 0.4031 0.0949 0.6155  1 H 2.14
Ho20 0.4031 0.8081 0.7875  1 H 2.14
Ho21 0.4051 0.0969 0.8845  1 H 2.14
Ho22 0.4051 0.8081 0.5206  1 H 2.14
Ho23 0.4794 0.3845 0.2875  1 H 2.14
Ho24 0.4794 0.5949 0.1919  1 H 2.14
Ho25 0.5206 0.4051 0.8081  1 H 2.14
Ho26 0.5206 0.6155 0.7125  1 H 2.14
Ho27 0.5949 0.1919 0.4794  1 H 2.14
Ho28 0.5949 0.9031 0.1155  1 H 2.14
Ho29 0.5969 0.1919 0.2125  1 H 2.14
Ho30 0.5969 0.9051 0.3845  1 H 2.14
Ho31 0.6155 0.4031 0.0949  1 H 2.14
Ho32 0.6155 0.7125 0.5206  1 H 2.14
Ho33 0.6919 0.0949 0.9794  1 H 2.14
Ho34 0.6919 0.0969 0.7125  1 H 2.14
Ho35 0.7125 0.5206 0.6155  1 H 2.14
Ho36 0.7125 0.6919 0.0969  1 H 2.14
Ho37 0.7875 0.4031 0.8081  1 H 2.14
Ho38 0.7875 0.8845 0.9794  1 H 2.14
Ho39 0.8081 0.5206 0.4051  1 H 2.14
Ho40 0.8081 0.7875 0.4031  1 H 2.14
Ho41 0.8845 0.4051 0.0969  1 H 2.14
Ho42 0.8845 0.9794 0.7875  1 H 2.14
Ho43 0.9031 0.1155 0.5949  1 H 2.14
Ho44 0.9031 0.2875 0.3081  1 H 2.14
Ho45 0.9051 0.0206 0.3081  1 H 2.14
Ho46 0.9051 0.3845 0.5969  1 H 2.14
Ho47 0.9794 0.6919 0.0949  1 H 2.14
Ho48 0.9794 0.7875 0.8845  1 H 2.14
As1 0.1250 0.2500 0.3750  8 Ho 2.97-2.99
As2 0.1250 0.3750 0.7500  8 Ho 2.97-2.99
As3 0.2500 0.3750 0.1250  8 Ho 2.97-2.99
As4 0.2500 0.8750 0.6250  8 Ho 2.97-2.99
As5 0.3750 0.1250 0.2500  8 Ho 2.97-2.99
As6 0.3750 0.7500 0.1250  8 Ho 2.97-2.99
As7 0.6250 0.2500 0.8750  8 Ho 2.97-2.99
As8 0.6250 0.8750 0.7500  8 Ho 2.97-2.99
As9 0.7500 0.1250 0.3750  8 Ho 2.97-2.99
As10 0.7500 0.6250 0.8750  8 Ho 2.97-2.99
As11 0.8750 0.6250 0.2500  8 Ho 2.97-2.99
As12 0.8750 0.7500 0.6250  8 Ho 2.97-2.99
H1 0.0000 0.0000 0.0000  6 Ho 2.54
H2 0.0000 0.0000 0.5000  6 Ho 2.54
H3 0.0000 0.5000 0.0000  6 Ho 2.54
H4 0.0000 0.5000 0.5000  6 Ho 2.54
H5 0.1250 0.7500 0.8750  4 Ho 2.14
H6 0.1250 0.8750 0.2500  4 Ho 2.14
H7 0.2500 0.1250 0.8750  4 Ho 2.14
H8 0.2500 0.6250 0.3750  4 Ho 2.14
H9 0.3750 0.2500 0.6250  4 Ho 2.14
H10 0.3750 0.6250 0.7500  4 Ho 2.14
H11 0.5000 0.0000 0.0000  6 Ho 2.54
H12 0.5000 0.0000 0.5000  6 Ho 2.54
H13 0.5000 0.5000 0.0000  6 Ho 2.54
H14 0.5000 0.5000 0.5000  6 Ho 2.54
H15 0.6250 0.3750 0.2500  4 Ho 2.14
H16 0.6250 0.7500 0.3750  4 Ho 2.14
H17 0.7500 0.3750 0.6250  4 Ho 2.14
H18 0.7500 0.8750 0.1250  4 Ho 2.14
H19 0.8750 0.1250 0.7500  4 Ho 2.14
H20 0.8750 0.2500 0.1250  4 Ho 2.14

(2)
DFT (PBE) results for an optimized crystal structure of Ho2AsH.

Values from the calculation:
As for the total energy: -0.3622 Ry/atom. The value obtained for the energy above the most stable polymorph in this dataset is 283 meV per atom. As for the volume: 307.0 Å³/cell. The space group is R-3m (166).

Cell: 4.0630 4.0630 21.4768 Å, 90.00 90.00 120.00°
With the nearest neighbours (Å) after each atom.
Fractional positions:
Ho1 0.0000 0.0000 0.0935  1 H 2.01
Ho2 0.0000 0.0000 0.9065  1 H 2.01
Ho3 0.3333 0.6667 0.5732  1 H 2.01
Ho4 0.3333 0.6667 0.7602  1 H 2.01
Ho5 0.6667 0.3333 0.2398  1 H 2.01
Ho6 0.6667 0.3333 0.4268  1 H 2.01
As1 0.0000 0.0000 0.5000  6 Ho 2.82
As2 0.3333 0.6667 0.1667  6 Ho 2.82
As3 0.6667 0.3333 0.8333  6 Ho 2.82
H1 0.0000 0.0000 0.0000  2 Ho 2.01
H2 0.3333 0.6667 0.6667  2 Ho 2.01
H3 0.6667 0.3333 0.3333  2 Ho 2.01

(3)
DFT (PBE) results for an optimized crystal structure of Ho2AsH.

Values from the calculation:
As for the total energy: -0.3830 Ry/atom. The value obtained for the energy above the most stable polymorph in this dataset is 0 meV per atom. As for the volume: 84.2 Å³/cell. The space group is P3m1 (156).

Cell: 3.9228 3.9228 6.3150 Å, 90.00 90.00 120.00°
With the nearest neighbours (Å) after each atom.
Fractional positions:
Ho1 0.0000 0.0000 0.0000  3 H 2.37
Ho2 0.3333 0.6667 0.5380  1 H 2.23
As1 0.6667 0.3333 0.2726  6 Ho 2.82-2.84
H1 0.3333 0.6667 0.8919  4 Ho 2.23-2.37